The following is a DFT calculation (PBE) of crystalline SiAsIrBr2 at its relaxed geometry.

The structure in extended XYZ format:
```
5
Lattice="5.253 0.000 0.000 0.000 5.253 0.000 0.000 0.000 4.649" Properties=species:S:1:pos:R:3 pbc="T T T"
Si 0.000 0.000 0.000
As 2.626 2.626 0.000
Ir 2.626 2.626 2.324
Br 0.000 2.626 2.324
Br 2.626 0.000 2.324
```

Results
* formation energy (no corrections): 16.9 kcal/mol of atoms
* total magnetic moment: 0.97 μB per formula unit
* offset from the most stable computed form: 0.00 eV per formula unit
* space group: P4/mmm